1 | # BaSr2Zr

Crystalline BaSr2Zr at its relaxed geometry (PBE-GGA, the Alexandria database).

abc: 5.1917 5.1917 26.3573
angles: 90.00 90.00 90.00
Space group I-42d (No. 122)
Unique sites:
Ba 0.0000 0.0000 0.0000 x4
Sr 0.2335 0.2500 0.6250 x8
Zr 0.0000 0.0000 0.5000 x4


2 | # BaSr2Zr

Crystalline BaSr2Zr at its relaxed geometry (PBE-GGA, the Alexandria database).

abc: 8.8109 8.8109 8.8109
angles: 90.00 90.00 90.00
Space group Fm-3m (No. 225)
Unique sites:
Ba 0.0000 0.0000 0.0000 x4
Sr 0.2500 0.2500 0.2500 x8
Zr 0.0000 0.0000 0.5000 x4


3 | # BaSr2Zr

Crystalline BaSr2Zr at its relaxed geometry (PBE-GGA, the Alexandria database).

abc: 3.7589 6.1693 7.4324
angles: 90.00 99.60 90.00
Space group P2/m (No. 10)
Unique sites:
Ba 0.0000 0.0000 0.0000 x1
Sr 0.2584 0.5000 0.7276 x2
Zr 0.5000 0.0000 0.5000 x1


Most stable to least stable, the ends of the list are 3 and 1.


1 | # BaSr2Zr

Crystalline BaSr2Zr at its relaxed geometry (PBE-GGA, the Alexandria database).

abc: 5.6505 5.6505 10.9149
angles: 90.00 90.00 90.00
Space group I4/mmm (No. 139)
Unique sites:
Ba 0.0000 0.0000 0.0000 x2
Sr 0.0000 0.5000 0.2500 x4
Zr 0.0000 0.0000 0.5000 x2


2 | # BaSr2Zr

Crystalline BaSr2Zr at its relaxed geometry (PBE-GGA, the Alexandria database).

abc: 7.8240 11.4605 3.8375
angles: 90.00 90.00 90.00
Space group Cmmm (No. 65)
Unique sites:
Ba 0.0000 0.0000 0.0000 x2
Sr 0.2500 0.2500 0.5000 x4
Zr 0.0000 0.5000 0.0000 x2


3 | # BaSr2Zr

Crystalline BaSr2Zr at its relaxed geometry (PBE-GGA, the Alexandria database).

abc: 4.1969 6.3118 6.3878
angles: 90.00 90.00 90.00
Space group Pmmm (No. 47)
Unique sites:
Ba 0.0000 0.0000 0.0000 x1
Sr 0.0000 0.5000 0.5000 x1
Sr 0.5000 0.0000 0.5000 x1
Zr 0.5000 0.5000 0.0000 x1


4 | # BaSr2Zr

Crystalline BaSr2Zr at its relaxed geometry (PBE-GGA, the Alexandria database).

abc: 13.0401 3.8609 7.0056
angles: 90.00 100.10 90.00
Space group C2/m (No. 12)
Unique sites:
Ba 0.0000 0.0000 0.0000 x2
Sr 0.2347 0.0000 0.7272 x4
Zr 0.0000 0.5000 0.5000 x2


Most stable to least stable, the ends of the list are 4 and 3.